Entry 1:
Li2MgAg2 at its PBEsol-relaxed geometry. Source: the Alexandria database, functional meta-GGA SCAN.

Total magnetization = 0.000 μB per formula unit
Formation energy = -0.16 eV per atom
Mass density = 4.946 Mg/m³

CIF file:
```
data_Li2MgAg2
_chemical_formula_sum 'Li4 Mg2 Ag4'
_cell_length_a 7.3137
_cell_length_b 7.3137
_cell_length_c 3.1878
_cell_angle_alpha 90.00
_cell_angle_beta 90.00
_cell_angle_gamma 90.00
_symmetry_space_group_name_H-M 'P 4/m b m'
_symmetry_Int_Tables_number 127
_symmetry_space_group_name_Hall '-P 4 2ab'
loop_
_atom_site_label
_atom_site_type_symbol
_atom_site_fract_x
_atom_site_fract_y
_atom_site_fract_z
_atom_site_occupancy
Li1 Li 0.1596 0.3404 0.0000 1
Mg1 Mg 0.0000 0.0000 0.5000 1
Ag1 Ag 0.1369 0.6369 0.5000 1
```

Entry 2:
Li3Mn2CuO6 at its PBEsol-relaxed geometry. Source: the Alexandria database, functional meta-GGA SCAN.

Total magnetization = 4.428 μB per formula unit
Mass density = 4.668 Mg/m³
Uncorrected formation energy = -1988 meV per atom

CIF file:
```
data_Li3Mn2CuO6
_chemical_formula_sum 'Li6 Mn4 Cu2 O12'
_cell_length_a 13.2680
_cell_length_b 2.7923
_cell_length_c 5.6870
_cell_angle_alpha 90.00
_cell_angle_beta 101.47
_cell_angle_gamma 90.00
_symmetry_space_group_name_H-M 'C 1 2/m 1'
_symmetry_Int_Tables_number 12
loop_
_symmetry_equiv_pos_as_xyz
'x,y,z'
'-x,-y,-z'
'-x,y,-z'
'x,-y,z'
'x+1/2,y+1/2,z'
'-x+1/2,-y+1/2,-z'
'-x+1/2,y+1/2,-z'
'x+1/2,-y+1/2,z'
loop_
_atom_site_label
_atom_site_type_symbol
_atom_site_fract_x
_atom_site_fract_y
_atom_site_fract_z
_atom_site_occupancy
Li1 Li 0.0000 0.0000 0.0000 1
Li2 Li 0.1698 0.5000 0.3463 1
Mn1 Mn 0.1693 0.5000 0.8319 1
Cu1 Cu 0.0000 0.0000 0.5000 1
O1 O 0.0270 0.5000 0.7582 1
O2 O 0.1765 0.0000 0.0728 1
O3 O 0.1791 0.0000 0.6123 1
```

Entry 3:
Ca2LaPd2 at its PBEsol-relaxed geometry. Source: the Alexandria database, functional meta-GGA SCAN.

Total magnetization = 0.029 μB per formula unit
Formation energy = -0.64 eV per atom
Mass density = 5.731 Mg/m³

CIF file:
```
data_Ca2LaPd2
_chemical_formula_sum 'Ca4 La2 Pd4'
_cell_length_a 7.5306
_cell_length_b 7.5306
_cell_length_c 4.4135
_cell_angle_alpha 90.00
_cell_angle_beta 90.00
_cell_angle_gamma 90.00
_symmetry_space_group_name_H-M 'P 4/m b m'
_symmetry_Int_Tables_number 127
_symmetry_space_group_name_Hall '-P 4 2ab'
loop_
_atom_site_label
_atom_site_type_symbol
_atom_site_fract_x
_atom_site_fract_y
_atom_site_fract_z
_atom_site_occupancy
Ca1 Ca 0.1611 0.3389 0.0000 1
La1 La 0.0000 0.0000 0.5000 1
Pd1 Pd 0.1301 0.6301 0.5000 1
```

Entry 4:
ScTaFe2 at its PBEsol-relaxed geometry. Source: the Alexandria database, functional meta-GGA SCAN.

Total magnetization = 0.002 μB per formula unit
Formation energy = -0.15 eV per atom
Mass density = 9.987 Mg/m³

CIF file:
```
data_ScTaFe2
_chemical_formula_sum 'Sc1 Ta1 Fe2'
_cell_length_a 3.0255
_cell_length_b 3.0255
_cell_length_c 6.1322
_cell_angle_alpha 90.00
_cell_angle_beta 90.00
_cell_angle_gamma 90.00
_symmetry_space_group_name_H-M 'P 4/m m m'
_symmetry_Int_Tables_number 123
_symmetry_space_group_name_Hall '-P 4 2'
loop_
_atom_site_label
_atom_site_type_symbol
_atom_site_fract_x
_atom_site_fract_y
_atom_site_fract_z
_atom_site_occupancy
Sc1 Sc 0.0000 0.0000 0.0000 1
Ta1 Ta 0.0000 0.0000 0.5000 1
Fe1 Fe 0.5000 0.5000 0.2668 1
```

Entry 5:
Mg2ZrRu at its PBEsol-relaxed geometry. Source: the Alexandria database, functional meta-GGA SCAN.

Total magnetization = 0.195 μB per formula unit
Formation energy = 0.12 eV per atom
Mass density = 5.493 Mg/m³

CIF file:
```
data_Mg2ZrRu
_chemical_formula_sum 'Mg6 Zr3 Ru3'
_cell_length_a 2.9340
_cell_length_b 2.9340
_cell_length_c 29.3059
_cell_angle_alpha 90.00
_cell_angle_beta 90.00
_cell_angle_gamma 120.00
_symmetry_space_group_name_H-M 'R -3 m'
_symmetry_Int_Tables_number 166
_symmetry_space_group_name_Hall '-R 3 2"'
loop_
_atom_site_label
_atom_site_type_symbol
_atom_site_fract_x
_atom_site_fract_y
_atom_site_fract_z
_atom_site_occupancy
Mg1 Mg 0.0000 0.0000 0.2385 1
Zr1 Zr 0.0000 0.0000 0.0000 1
Ru1 Ru 0.0000 0.0000 0.5000 1
```

Entry 6:
SbRuPt2 at its PBEsol-relaxed geometry. Source: the Alexandria database, functional meta-GGA SCAN.

Total magnetization = 1.349 μB per formula unit
Mass density = 15.346 Mg/m³
Uncorrected formation energy = 244 meV per atom

CIF file:
```
data_SbRuPt2
_chemical_formula_sum 'Sb1 Ru1 Pt2'
_cell_length_a 2.8862
_cell_length_b 2.8862
_cell_length_c 7.9630
_cell_angle_alpha 90.00
_cell_angle_beta 90.00
_cell_angle_gamma 90.00
_symmetry_space_group_name_H-M 'P 4/m m m'
_symmetry_Int_Tables_number 123
_symmetry_space_group_name_Hall '-P 4 2'
loop_
_atom_site_label
_atom_site_type_symbol
_atom_site_fract_x
_atom_site_fract_y
_atom_site_fract_z
_atom_site_occupancy
Sb1 Sb 0.0000 0.0000 0.0000 1
Ru1 Ru 0.0000 0.0000 0.5000 1
Pt1 Pt 0.5000 0.5000 0.2777 1
```

Entry 7:
B2MoPb6O12 at its PBEsol-relaxed geometry. Source: the Alexandria database, functional meta-GGA SCAN.

Total magnetization = 0.000 μB per formula unit
Mass density = 7.574 Mg/m³
Uncorrected formation energy = -1769 meV per atom

CIF file:
```
data_B2MoPb6O12
_chemical_formula_sum 'B8 Mo4 Pb24 O48'
_cell_length_a 18.3651
_cell_length_b 6.2468
_cell_length_c 11.8691
_cell_angle_alpha 90.00
_cell_angle_beta 90.00
_cell_angle_gamma 90.00
_symmetry_space_group_name_H-M 'C m c m'
_symmetry_Int_Tables_number 63
_symmetry_space_group_name_Hall '-C 2c 2'
loop_
_atom_site_label
_atom_site_type_symbol
_atom_site_fract_x
_atom_site_fract_y
_atom_site_fract_z
_atom_site_occupancy
B1 B 0.2459 0.0000 0.0000 1
Mo1 Mo 0.0000 0.2267 0.2500 1
Pb1 Pb 0.1048 0.2623 0.5939 1
Pb2 Pb 0.2087 0.2076 0.2500 1
O1 O 0.0000 0.0640 0.1283 1
O2 O 0.0775 0.3984 0.2500 1
O3 O 0.1495 0.1291 0.7500 1
O4 O 0.1698 0.0000 0.0000 1
O5 O 0.2170 0.4448 0.5969 1
```

Entry 8:
KAlW at its PBEsol-relaxed geometry. Source: the Alexandria database, functional meta-GGA SCAN.

Total magnetization = 2.036 μB per formula unit
Formation energy = 1.97 eV per atom
Mass density = 5.690 Mg/m³

CIF file:
```
data_KAlW
_chemical_formula_sum 'K4 Al4 W4'
_cell_length_a 6.6324
_cell_length_b 6.6324
_cell_length_c 6.6324
_cell_angle_alpha 90.00
_cell_angle_beta 90.00
_cell_angle_gamma 90.00
_symmetry_space_group_name_H-M 'F -4 3 m'
_symmetry_Int_Tables_number 216
_symmetry_space_group_name_Hall 'F -4 2 3'
loop_
_atom_site_label
_atom_site_type_symbol
_atom_site_fract_x
_atom_site_fract_y
_atom_site_fract_z
_atom_site_occupancy
K1 K 0.0000 0.0000 0.0000 1
Al1 Al 0.0000 0.0000 0.5000 1
W1 W 0.2500 0.2500 0.2500 1
```

Entry 9:
CaLa3 at its PBEsol-relaxed geometry. Source: the Alexandria database, functional meta-GGA SCAN.

Total magnetization = 0.010 μB per formula unit
Formation energy = 0.08 eV per atom
Mass density = 5.379 Mg/m³

CIF file:
```
data_CaLa3
_chemical_formula_sum 'Ca2 La6'
_cell_length_a 5.1799
_cell_length_b 5.1799
_cell_length_c 10.5103
_cell_angle_alpha 90.00
_cell_angle_beta 90.00
_cell_angle_gamma 90.00
_symmetry_space_group_name_H-M 'I 4/m m m'
_symmetry_Int_Tables_number 139
_symmetry_space_group_name_Hall '-I 4 2'
loop_
_atom_site_label
_atom_site_type_symbol
_atom_site_fract_x
_atom_site_fract_y
_atom_site_fract_z
_atom_site_occupancy
Ca1 Ca 0.0000 0.0000 0.0000 1
La1 La 0.0000 0.0000 0.5000 1
La2 La 0.0000 0.5000 0.2500 1
```

Entry 10:
ZrGa2Br at its PBEsol-relaxed geometry. Source: the Alexandria database, functional meta-GGA SCAN.

Total magnetization = 0.000 μB per formula unit
Mass density = 6.227 Mg/m³
Uncorrected formation energy = 355 meV per atom

CIF file:
```
data_ZrGa2Br
_chemical_formula_sum 'Zr4 Ga8 Br4'
_cell_length_a 6.9193
_cell_length_b 6.9193
_cell_length_c 6.9193
_cell_angle_alpha 90.00
_cell_angle_beta 90.00
_cell_angle_gamma 90.00
_symmetry_space_group_name_H-M 'F m -3 m'
_symmetry_Int_Tables_number 225
_symmetry_space_group_name_Hall '-F 4 2 3'
loop_
_atom_site_label
_atom_site_type_symbol
_atom_site_fract_x
_atom_site_fract_y
_atom_site_fract_z
_atom_site_occupancy
Zr1 Zr 0.0000 0.0000 0.0000 1
Ga1 Ga 0.2500 0.2500 0.2500 1
Br1 Br 0.0000 0.0000 0.5000 1
```

Copy entry 4 word for word.
ScTaFe2 at its PBEsol-relaxed geometry. Source: the Alexandria database, functional meta-GGA SCAN.

Total magnetization = 0.002 μB per formula unit
Formation energy = -0.15 eV per atom
Mass density = 9.987 Mg/m³

CIF file:
```
data_ScTaFe2
_chemical_formula_sum 'Sc1 Ta1 Fe2'
_cell_length_a 3.0255
_cell_length_b 3.0255
_cell_length_c 6.1322
_cell_angle_alpha 90.00
_cell_angle_beta 90.00
_cell_angle_gamma 90.00
_symmetry_space_group_name_H-M 'P 4/m m m'
_symmetry_Int_Tables_number 123
_symmetry_space_group_name_Hall '-P 4 2'
loop_
_atom_site_label
_atom_site_type_symbol
_atom_site_fract_x
_atom_site_fract_y
_atom_site_fract_z
_atom_site_occupancy
Sc1 Sc 0.0000 0.0000 0.0000 1
Ta1 Ta 0.0000 0.0000 0.5000 1
Fe1 Fe 0.5000 0.5000 0.2668 1
```